# Ti2GaNi, optimized geometry, DFT PBE
# **Magnetization**: 0.0 μB/cell
# **Energy of formation from the pure elements**: 0.168 eV/atom
data_Ti2GaNi
_chemical_formula_sum 'Ti8 Ga4 Ni4'
_symmetry_space_group_name_H-M 'I -4 2 d'
_symmetry_Int_Tables_number 122
_symmetry_space_group_name_Hall 'I -4 2bw'
_cell_length_a 3.671
_cell_length_b 3.671
_cell_length_c 18.794
_cell_angle_alpha 90.00
_cell_angle_beta 90.00
_cell_angle_gamma 90.00
loop_
_atom_site_label
_atom_site_type_symbol
_atom_site_fract_x
_atom_site_fract_y
_atom_site_fract_z
Ti1 Ti 0.248 0.250 0.125
Ga1 Ga 0.000 0.000 0.000
Ni1 Ni 0.000 0.000 0.500